A plane-wave DFT calculation with GGA-PBEsol was carried out for Re5Os after structural relaxation.

The space group is Amm2 (No. 38) and the conventional cell measures 4.4102, 2.7530 and 14.3183 Å, with angles of 90.00, 90.00 and 90.00 degrees. The inequivalent atoms are Re at (0.0000, 0.0000, 0.0000), Re at (0.0000, 0.0000, 0.3310), Re at (0.5000, 0.0000, 0.2207), Re at (0.5000, 0.0000, 0.5543), Re at (0.5000, 0.0000, 0.8884) and Os at (0.0000, 0.0000, 0.6663).

For the energy above the lowest structure with this stoichiometry, the calculation gives 4 meV/atom. The calculation puts the formation energy at -3.79 kJ per mole of atoms. For the spin magnetization, the calculation gives 0.00 μB per formula unit. As for the total energy: -13.19 eV per atom.

A plane-wave DFT calculation with GGA-PBEsol was carried out for ReOs5 after structural relaxation.

The space group is Cm (No. 8) and the conventional cell measures 9.8536, 2.7368 and 6.4142 Å, with angles of 90.00, 103.60 and 90.00 degrees. The inequivalent atoms are Re at (0.0000, 0.0000, 0.0000), Os at (0.1112, 0.5000, 0.7222), Os at (0.1670, 0.5000, 0.3325), Os at (0.2775, 0.0000, 0.0550), Os at (0.3330, 0.0000, 0.6662) and Os at (0.4449, 0.5000, 0.3885).

For the energy above the lowest structure with this stoichiometry, the calculation gives 9 meV/atom. The calculation puts the formation energy at -4.13 kJ per mole of atoms. For the spin magnetization, the calculation gives 0.00 μB per formula unit. As for the total energy: -12.44 eV per atom.